This record from Alexandria via LeMat-Bulk describes a relaxed structure of Pu3ZnGa. The functional is PBE-GGA.

The space group is Pnnm (No. 58) and the conventional cell measures 6.434, 6.466 and 9.314 Å, with angles of 90.00, 90.00 and 90.00 degrees. The asymmetric unit holds Pu at (0.000, 0.000, 0.245), Pu at (0.143, 0.356, 0.241), Zn at (0.171, 0.672, 0.000) and Ga at (0.157, 0.646, 0.500).

The total energy is -9.44 eV/atom. For the total moment, the calculation gives 3.5 μB per formula unit. The calculation puts the formation energy at 0.018 eV/atom.